DFT (PBE-GGA) results for a relaxed structure of Li2La2Mg15.

a = 7.8383 Å, b = 7.8383 Å, c = 7.8383 Å
α = 82.74°, β = 82.74°, γ = 82.74°
Fractional positions:
Li 0.0969 0.0969 0.0969
Li 0.9031 0.9031 0.9031
La 0.3344 0.3344 0.3344
La 0.6656 0.6656 0.6656
Mg 0.0000 0.0000 0.5000
Mg 0.0000 0.3029 0.6971
Mg 0.0000 0.5000 0.0000
Mg 0.0000 0.6971 0.3029
Mg 0.1589 0.6508 0.6508
Mg 0.3029 0.0000 0.6971
Mg 0.3029 0.6971 0.0000
Mg 0.3492 0.3492 0.8411
Mg 0.3492 0.8411 0.3492
Mg 0.5000 0.0000 0.0000
Mg 0.6508 0.1589 0.6508
Mg 0.6508 0.6508 0.1589
Mg 0.6971 0.0000 0.3029
Mg 0.6971 0.3029 0.0000
Mg 0.8411 0.3492 0.3492

Calculated values
- Calculated formation energy: -1.23 eV/f.u.
- Spin magnetization: 0.000 μB/atom

DFT (PBE-GGA) results for a relaxed structure of Li3Ga2BRh3.

a = 6.7052 Å, b = 6.7052 Å, c = 2.8987 Å
α = 90.00°, β = 90.00°, γ = 120.00°
Fractional positions:
Li 0.0000 0.6271 0.0000
Li 0.3729 0.3729 0.0000
Li 0.6271 0.0000 0.0000
Ga 0.3333 0.6667 0.5000
Ga 0.6667 0.3333 0.5000
B 0.0000 0.0000 0.0000
Rh 0.0000 0.2490 0.5000
Rh 0.2490 0.0000 0.5000
Rh 0.7510 0.7510 0.5000

Calculated values
- Calculated formation energy: -4.59 eV/f.u.
- Spin magnetization: 0.000 μB/atom